# Tb7Nd2Er2

Crystalline Tb7Nd2Er2 at its relaxed geometry (PBE-GGA, Alexandria via LeMat-Bulk).

Cell lengths 8.0541, 10.4596, 8.0541 Å; angles 126.26, 88.79, 53.74 degrees
With the nearest neighbours (Å) after each atom.
Fractional positions:
1 Tb 0.7667 0.3206 0.7598  5 Tb 3.25-3.60, 2 Er 3.30-3.43
2 Tb 0.0000 0.5000 0.0000  6 Tb 3.29-3.45
3 Tb 0.2333 0.6794 0.2402  5 Tb 3.25-3.60, 2 Er 3.30-3.43
4 Tb 0.7598 0.6794 0.7667  5 Tb 3.25-3.60, 2 Er 3.30-3.43
5 Tb 0.6455 0.0816 0.3545  5 Tb 3.35-3.55, 2 Er 3.45, 3 Nd 3.49-3.72
6 Tb 0.2402 0.3206 0.2333  5 Tb 3.25-3.60, 2 Er 3.30-3.43
7 Tb 0.3545 0.9184 0.6455  5 Tb 3.35-3.55, 2 Er 3.45, 3 Nd 3.49-3.72
8 Nd 0.2176 0.6960 0.7824  2 Nd 3.43-3.63, 7 Tb 3.49-3.79, 2 Er 3.70
9 Nd 0.7824 0.3040 0.2176  2 Nd 3.43-3.63, 7 Tb 3.49-3.79, 2 Er 3.70
10 Er 0.7153 0.0000 0.7153  6 Tb 3.30-3.45
11 Er 0.2847 0.0000 0.2847  6 Tb 3.30-3.45

Computed properties:
final energy	-49.43	eV/cell
energy of formation	0.15	eV per atom
theoretical density	7.95	g cm⁻³
SG	C2/m
excess energy over the best structure of this formula in the dataset	0.000	eV per atom
total magnetic moment	0.000	Bohr magnetons per cell